*1*
Here is an optimized crystal structure of GaPCl2F from the Alexandria database. Energies are from PBE.

Magnetization ... 0.916 μB/cell
D(E_F) ... 2.8 states/eV/f.u.

Cell lengths 4.6817, 4.6817, 5.0575 Å; angles 90.00, 90.00, 90.00 degrees
Closest atoms and distances in Å follow each position.
Sites, in units of the cell vectors:
Ga 0.0000 0.0000 0.0000  4 Cl 2.34, 2 P 2.53
P 0.0000 0.0000 0.5000  2 Ga 2.53
Cl 0.0000 0.5000 0.0000  2 Ga 2.34
Cl 0.5000 0.0000 0.0000  2 Ga 2.34
F 0.5000 0.5000 0.5000  4 P 3.31, 8 Cl 3.45



*2*
Here is an optimized crystal structure of GaPCl2F from the Alexandria database. Energies are from PBE.

Magnetization ... 0.000 μB/cell
D(E_F) ... 1.3 states/eV/f.u.

Cell lengths 5.5750, 5.5750, 3.6238 Å; angles 90.00, 90.00, 90.00 degrees
Closest atoms and distances in Å follow each position.
Sites, in units of the cell vectors:
Ga 0.0000 0.0000 0.0000  8 Cl 3.32, 2 Ga 3.62
P 0.5000 0.5000 0.0000  2 F 1.81
Cl 0.0000 0.5000 0.5000  2 F 2.79
Cl 0.5000 0.0000 0.5000  2 F 2.79
F 0.5000 0.5000 0.5000  2 P 1.81



Which structure is most stable? *2*, by 0.174 eV/atom over the runner-up.



*1*
Here is an optimized crystal structure of GaSCl2F from the Alexandria database. Energies are from PBE.

Magnetization ... 1.258 μB/cell
D(E_F) ... 4.9 states/eV/f.u.

Cell lengths 5.6286, 5.6286, 3.6549 Å; angles 90.00, 90.00, 90.00 degrees
Closest atoms and distances in Å follow each position.
Sites, in units of the cell vectors:
Ga 0.0000 0.0000 0.0000  8 Cl 3.36, 2 Ga 3.65
S 0.5000 0.5000 0.0000  2 F 1.83
Cl 0.0000 0.5000 0.5000  2 F 2.81
Cl 0.5000 0.0000 0.5000  2 F 2.81
F 0.5000 0.5000 0.5000  2 S 1.83



*2*
Here is an optimized crystal structure of GaSCl2F from the Alexandria database. Energies are from PBE.

Magnetization ... 2.090 μB/cell
D(E_F) ... 4.0 states/eV/f.u.

Cell lengths 4.6813, 4.6813, 5.0329 Å; angles 90.00, 90.00, 90.00 degrees
Closest atoms and distances in Å follow each position.
Sites, in units of the cell vectors:
Ga 0.0000 0.0000 0.0000  4 Cl 2.34, 2 S 2.52
S 0.0000 0.0000 0.5000  2 Ga 2.52
Cl 0.0000 0.5000 0.0000  2 Ga 2.34
Cl 0.5000 0.0000 0.0000  2 Ga 2.34
F 0.5000 0.5000 0.5000  4 S 3.31, 8 Cl 3.44



Which structure is most stable? *2*, by 0.169 eV/atom over the runner-up.



*1*
Here is an optimized crystal structure of Tl2GaClF from the Alexandria database. Energies are from PBE.

Magnetization ... 0.000 μB/cell
D(E_F) ... 2.5 states/eV/f.u.

Cell lengths 6.0463, 6.0463, 5.2974 Å; angles 90.00, 90.00, 90.00 degrees
Closest atoms and distances in Å follow each position.
Sites, in units of the cell vectors:
Tl 0.0000 0.5000 0.0000  2 Cl 3.02
Tl 0.5000 0.0000 0.0000  2 Cl 3.02
Ga 0.0000 0.0000 0.5000  2 Cl 2.65
Cl 0.0000 0.0000 0.0000  2 Ga 2.65
F 0.5000 0.5000 0.5000  8 Tl 4.02, 4 Ga 4.28



*2*
Here is an optimized crystal structure of Tl2GaClF from the Alexandria database. Energies are from PBE.

Magnetization ... 0.000 μB/cell
D(E_F) ... 1.0 states/eV/f.u.

Cell lengths 5.6048, 5.6048, 4.2056 Å; angles 90.00, 90.00, 90.00 degrees
Closest atoms and distances in Å follow each position.
Sites, in units of the cell vectors:
Tl 0.0000 0.5000 0.0000  2 Ga 2.80
Tl 0.5000 0.0000 0.0000  2 Ga 2.80
Ga 0.0000 0.0000 0.0000  2 F 2.10
Cl 0.5000 0.5000 0.5000  8 Tl 3.50
F 0.0000 0.0000 0.5000  2 Ga 2.10



Which structure is most stable? *2*, by 0.492 eV/atom over the runner-up.



*1*
Here is an optimized crystal structure of TlGaCl2F from the Alexandria database. Energies are from PBE.

Magnetization ... 0.000 μB/cell
D(E_F) ... 1.1 states/eV/f.u.

Cell lengths 5.2797, 5.2797, 4.1821 Å; angles 90.00, 90.00, 90.00 degrees
Closest atoms and distances in Å follow each position.
Sites, in units of the cell vectors:
Tl 0.0000 0.0000 0.0000  8 Cl 3.37, 4 F 3.73
Ga 0.5000 0.5000 0.5000  2 F 2.09
Cl 0.0000 0.5000 0.5000  2 Ga 2.64
Cl 0.5000 0.0000 0.5000  2 Ga 2.64
F 0.5000 0.5000 0.0000  2 Ga 2.09



*2*
Here is an optimized crystal structure of TlGaCl2F from the Alexandria database. Energies are from PBE.

Magnetization ... 0.000 μB/cell
D(E_F) ... 1.0 states/eV/f.u.

Cell lengths 5.1911, 5.1911, 8.5967 Å; angles 90.00, 90.00, 90.00 degrees
Closest atoms and distances in Å follow each position.
Sites, in units of the cell vectors:
Tl 0.0000 0.0000 0.0000  4 Cl 2.60
Ga 0.0000 0.0000 0.5000  4 F 3.67
Cl 0.0000 0.5000 0.0000  2 Tl 2.60
Cl 0.5000 0.0000 0.0000  2 Tl 2.60
F 0.5000 0.5000 0.5000  4 Ga 3.67



Which structure is most stable? *1*, by 0.865 eV/atom over the runner-up.



*1*
Here is an optimized crystal structure of GdClF from the Alexandria database. Energies are from PBE.

Magnetization ... 7.101 μB/cell
D(E_F) ... 3.8 states/eV/f.u.

Cell lengths 5.4571, 5.4571, 5.4571 Å; angles 144.37, 144.37, 51.28 degrees
Closest atoms and distances in Å follow each position.
Sites, in units of the cell vectors:
Gd 0.0000 0.0000 0.0000  4 F 2.55
Cl 0.3215 0.3215 0.0000  1 F 2.73, 4 Gd 2.94
F 0.5991 0.5991 0.0000  4 Gd 2.55, 1 Cl 2.73



*2*
Here is an optimized crystal structure of GdClF from the Alexandria database. Energies are from PBE.

Magnetization ... 6.841 μB/cell
D(E_F) ... 3.9 states/eV/f.u.

Cell lengths 4.1817, 4.1817, 3.6515 Å; angles 90.00, 90.00, 120.00 degrees
Closest atoms and distances in Å follow each position.
Sites, in units of the cell vectors:
Gd 0.0000 0.0000 0.0000  3 F 2.41
Cl 0.3333 0.6667 0.5000  6 Gd 3.03, 6 F 3.03
F 0.6667 0.3333 0.0000  3 Gd 2.41



Which structure is most stable? *2*, by 0.177 eV/atom over the runner-up.



*1*
Here is an optimized crystal structure of GeCl3F from the Alexandria database. Energies are from PBE.

Magnetization ... 0.000 μB/cell
D(E_F) ... 2.4 states/eV/f.u.

Cell lengths 4.6993, 4.6993, 4.6993 Å; angles 90.00, 90.00, 90.00 degrees
Closest atoms and distances in Å follow each position.
Sites, in units of the cell vectors:
Ge 0.0000 0.0000 0.0000  12 Cl 3.32
Cl 0.0000 0.5000 0.5000  2 F 2.35
Cl 0.5000 0.0000 0.5000  2 F 2.35
Cl 0.5000 0.5000 0.0000  2 F 2.35
F 0.5000 0.5000 0.5000  6 Cl 2.35



*2*
Here is an optimized crystal structure of GeCl3F from the Alexandria database. Energies are from PBE.

Magnetization ... 0.000 μB/cell
D(E_F) ... 0.0 states/eV/f.u.

Cell lengths 3.4935, 10.3399, 7.2857 Å; angles 90.00, 90.03, 90.00 degrees
Closest atoms and distances in Å follow each position.
Sites, in units of the cell vectors:
Ge 0.0020 0.2500 0.2563  1 F 1.76
Ge 0.9980 0.7500 0.7437  1 F 1.76
Cl 0.0007 0.7500 0.4453  1 Ge 2.17
Cl 0.4992 0.0883 0.2423  2 Ge 2.41-2.43
Cl 0.4992 0.4117 0.2423  2 Ge 2.41-2.43
Cl 0.5008 0.5883 0.7577  2 Ge 2.41-2.43
Cl 0.5008 0.9117 0.7577  2 Ge 2.41-2.43
Cl 0.9993 0.2500 0.5547  1 Ge 2.17
F 0.0013 0.7500 0.9855  1 Ge 1.76
F 0.9987 0.2500 0.0145  1 Ge 1.76



*3*
Here is an optimized crystal structure of GeCl3F from the Alexandria database. Energies are from PBE.

Magnetization ... 0.629 μB/cell
D(E_F) ... 12.0 states/eV/f.u.

Cell lengths 4.7466, 4.7466, 4.7466 Å; angles 90.00, 90.00, 90.00 degrees
Closest atoms and distances in Å follow each position.
Sites, in units of the cell vectors:
Ge 0.0000 0.0000 0.0000  6 Cl 2.37
Cl 0.0000 0.0000 0.5000  2 Ge 2.37
Cl 0.0000 0.5000 0.0000  2 Ge 2.37
Cl 0.5000 0.0000 0.0000  2 Ge 2.37
F 0.5000 0.5000 0.5000  12 Cl 3.36



Which structure is most stable? *2*, by 0.771 eV/atom over the runner-up.



*1*
Here is an optimized crystal structure of Ge2ClF2 from the Alexandria database. Energies are from PBE.

Magnetization ... 0.000 μB/cell
D(E_F) ... 2.1 states/eV/f.u.

Cell lengths 6.0033, 6.0033, 6.0033 Å; angles 140.45, 140.45, 57.16 degrees
Closest atoms and distances in Å follow each position.
Sites, in units of the cell vectors:
Ge 0.1388 0.1388 0.0000  4 F 2.34
Ge 0.8612 0.8612 0.0000  4 F 2.34
Cl 0.5000 0.5000 0.0000  8 Ge 3.22, 8 F 3.33
F 0.2500 0.7500 0.5000  4 Ge 2.34
F 0.7500 0.2500 0.5000  4 Ge 2.34



*2*
Here is an optimized crystal structure of Ge2ClF2 from the Alexandria database. Energies are from PBE.

Magnetization ... 0.000 μB/cell
D(E_F) ... 1.8 states/eV/f.u.

Cell lengths 7.6482, 7.6482, 2.9726 Å; angles 90.00, 90.00, 90.00 degrees
Closest atoms and distances in Å follow each position.
Sites, in units of the cell vectors:
Ge 0.2021 0.2979 0.0000  2 F 2.21
Ge 0.2979 0.7979 0.0000  2 F 2.21
Ge 0.7021 0.2021 0.0000  2 F 2.21
Ge 0.7979 0.7021 0.0000  2 F 2.21
Cl 0.0000 0.0000 0.0000  4 Ge 2.75, 2 Cl 2.97
Cl 0.5000 0.5000 0.0000  4 Ge 2.75, 2 Cl 2.97
F 0.1469 0.6469 0.5000  2 Ge 2.21
F 0.3531 0.1469 0.5000  2 Ge 2.21
F 0.6469 0.8531 0.5000  2 Ge 2.21
F 0.8531 0.3531 0.5000  2 Ge 2.21



Which structure is most stable? *1*, by 0.033 eV/atom over the runner-up.



*1*
Here is an optimized crystal structure of Ge2ClF3 from the Alexandria database. Energies are from PBE.

Magnetization ... 0.000 μB/cell
D(E_F) ... 0.0 states/eV/f.u.

Cell lengths 4.4629, 7.8801, 8.2424 Å; angles 105.36, 103.95, 104.42 degrees
Closest atoms and distances in Å follow each position.
Sites, in units of the cell vectors:
Ge 0.0768 0.3019 0.2989  2 F 1.98-2.02
Ge 0.2911 0.2506 0.8742  2 F 1.84-1.96
Ge 0.7089 0.7494 0.1258  2 F 1.84-1.96
Ge 0.9232 0.6981 0.7011  2 F 1.98-2.02
Cl 0.4834 0.2654 0.5171  1 Ge 2.36
Cl 0.5166 0.7346 0.4829  1 Ge 2.36
F 0.1442 0.9782 0.8130  2 Ge 1.96-2.02
F 0.2764 0.7359 0.0594  1 Ge 1.84
F 0.3424 0.2858 0.1383  2 Ge 1.98-2.07
F 0.6576 0.7142 0.8617  2 Ge 1.98-2.07
F 0.7236 0.2641 0.9406  1 Ge 1.84
F 0.8558 0.0218 0.1870  2 Ge 1.96-2.02



*2*
Here is an optimized crystal structure of Ge2ClF3 from the Alexandria database. Energies are from PBE.

Magnetization ... 0.000 μB/cell
D(E_F) ... 0.0 states/eV/f.u.

Cell lengths 7.9777, 7.9777, 8.6540 Å; angles 117.39, 117.39, 28.98 degrees
Closest atoms and distances in Å follow each position.
Sites, in units of the cell vectors:
Ge 0.0277 0.0277 0.3171  1 F 1.83
Ge 0.3085 0.3085 0.8989  1 F 1.87
Ge 0.6915 0.6915 0.1011  1 F 1.87
Ge 0.9723 0.9723 0.6829  1 F 1.83
Cl 0.3680 0.3680 0.4983  2 Ge 2.59
Cl 0.6320 0.6320 0.5017  2 Ge 2.59
F 0.0941 0.0941 0.1892  1 Ge 1.83
F 0.2104 0.2104 0.0175  3 Ge 2.19-2.20, 2 F 2.43
F 0.4252 0.4252 0.1123  1 Ge 1.87
F 0.5748 0.5748 0.8877  1 Ge 1.87
F 0.7896 0.7896 0.9825  3 Ge 2.19-2.20, 2 F 2.43
F 0.9059 0.9059 0.8108  1 Ge 1.83



Which structure is most stable? *1*, by 0.022 eV/atom over the runner-up.



*1*
Here is an optimized crystal structure of GeClF3 from the Alexandria database. Energies are from PBE.

Magnetization ... 0.000 μB/cell
D(E_F) ... 1.7 states/eV/f.u.

Cell lengths 4.4100, 4.4100, 4.4100 Å; angles 90.00, 90.00, 90.00 degrees
Closest atoms and distances in Å follow each position.
Sites, in units of the cell vectors:
Ge 0.0000 0.0000 0.0000  12 F 3.12
Cl 0.5000 0.5000 0.5000  6 F 2.20
F 0.0000 0.5000 0.5000  2 Cl 2.20
F 0.5000 0.0000 0.5000  2 Cl 2.20
F 0.5000 0.5000 0.0000  2 Cl 2.20



*2*
Here is an optimized crystal structure of GeClF3 from the Alexandria database. Energies are from PBE.

Magnetization ... 0.120 μB/cell
D(E_F) ... 0.0 states/eV/f.u.

Cell lengths 5.0108, 6.2176, 7.3554 Å; angles 92.94, 90.11, 90.31 degrees
Closest atoms and distances in Å follow each position.
Sites, in units of the cell vectors:
Ge 0.0000 0.0000 0.0000  3 F 1.72-1.73
Ge 0.4995 0.4182 0.5615  3 F 1.72-1.73
Cl 0.3852 0.1034 0.4800  1 Ge 2.09
Cl 0.8895 0.3144 0.0824  1 Ge 2.09
F 0.3432 0.9793 0.9865  1 Ge 1.73
F 0.3808 0.4957 0.7744  1 Ge 1.72
F 0.3964 0.6037 0.4107  1 Ge 1.72
F 0.8430 0.4396 0.5746  1 Ge 1.73
F 0.8790 0.9230 0.7870  1 Ge 1.72
F 0.8961 0.8140 0.1506  1 Ge 1.72



*3*
Here is an optimized crystal structure of GeClF3 from the Alexandria database. Energies are from PBE.

Magnetization ... 0.000 μB/cell
D(E_F) ... 0.0 states/eV/f.u.

Cell lengths 7.7685, 3.1204, 7.0266 Å; angles 90.00, 90.00, 90.00 degrees
Closest atoms and distances in Å follow each position.
Sites, in units of the cell vectors:
Ge 0.2500 0.0000 0.2221  1 F 1.73
Ge 0.7500 0.0000 0.7779  1 F 1.73
Cl 0.2500 0.0000 0.5239  1 Ge 2.12
Cl 0.7500 0.0000 0.4761  1 Ge 2.12
F 0.0912 0.5000 0.2127  2 Ge 1.99
F 0.2500 0.0000 0.9761  1 Ge 1.73
F 0.4088 0.5000 0.2127  2 Ge 1.99
F 0.5912 0.5000 0.7873  2 Ge 1.99
F 0.7500 0.0000 0.0239  1 Ge 1.73
F 0.9088 0.5000 0.7873  2 Ge 1.99



*4*
Here is an optimized crystal structure of GeClF3 from the Alexandria database. Energies are from PBE.

Magnetization ... 0.889 μB/cell
D(E_F) ... 7.5 states/eV/f.u.

Cell lengths 4.0965, 4.0965, 4.0965 Å; angles 90.00, 90.00, 90.00 degrees
Closest atoms and distances in Å follow each position.
Sites, in units of the cell vectors:
Ge 0.0000 0.0000 0.0000  6 F 2.05
Cl 0.5000 0.5000 0.5000  12 F 2.90
F 0.0000 0.0000 0.5000  2 Ge 2.05
F 0.0000 0.5000 0.0000  2 Ge 2.05
F 0.5000 0.0000 0.0000  2 Ge 2.05



Which structure is most stable? *2*, by 0.151 eV/atom over the runner-up.



*1*
Here is an optimized crystal structure of Ge2Cl3F from the Alexandria database. Energies are from PBE.

Magnetization ... 0.000 μB/cell
D(E_F) ... 0.0 states/eV/f.u.

Cell lengths 11.4051, 11.4051, 8.9825 Å; angles 102.72, 102.72, 18.59 degrees
Closest atoms and distances in Å follow each position.
Sites, in units of the cell vectors:
Ge 0.0630 0.0630 0.2130  3 Cl 2.25-2.52
Ge 0.2301 0.2301 0.6585  1 F 1.79
Ge 0.7699 0.7699 0.3415  1 F 1.79
Ge 0.9370 0.9370 0.7870  3 Cl 2.25-2.52
Cl 0.0396 0.0396 0.8387  1 Ge 2.25
Cl 0.3023 0.3023 0.1954  2 Ge 2.47
Cl 0.4259 0.4259 0.5916  2 Ge 2.52
Cl 0.5741 0.5741 0.4084  2 Ge 2.52
Cl 0.6977 0.6977 0.8046  2 Ge 2.47
Cl 0.9604 0.9604 0.1613  1 Ge 2.25
F 0.3069 0.3069 0.7689  1 Ge 1.79
F 0.6931 0.6931 0.2311  1 Ge 1.79



*2*
Here is an optimized crystal structure of Ge2Cl3F from the Alexandria database. Energies are from PBE.

Magnetization ... 0.000 μB/cell
D(E_F) ... 0.0 states/eV/f.u.

Cell lengths 4.8496, 8.7022, 9.3063 Å; angles 76.35, 76.13, 83.38 degrees
Closest atoms and distances in Å follow each position.
Sites, in units of the cell vectors:
Ge 0.1974 0.4895 0.1852  1 F 2.15, 2 Cl 2.33-2.38
Ge 0.2445 0.8126 0.4954  1 F 1.94
Ge 0.7555 0.1874 0.5046  1 F 1.94
Ge 0.8026 0.5105 0.8148  1 F 2.15, 2 Cl 2.33-2.38
Cl 0.0276 0.0380 0.6717  1 Ge 2.34
Cl 0.4209 0.6878 0.8805  1 Ge 2.33
Cl 0.4590 0.6194 0.3033  1 Ge 2.38
Cl 0.5410 0.3806 0.6967  1 Ge 2.38
Cl 0.5791 0.3122 0.1195  1 Ge 2.33
Cl 0.9724 0.9620 0.3283  1 Ge 2.34
F 0.0628 0.3235 0.3966  2 Ge 1.94-2.15
F 0.9372 0.6765 0.6034  2 Ge 1.94-2.15



Which structure is most stable? *2*, by 0.071 eV/atom over the runner-up.



*1*
Here is an optimized crystal structure of GeSCl2F from the Alexandria database. Energies are from PBE.

Magnetization ... 1.139 μB/cell
D(E_F) ... 2.7 states/eV/f.u.

Cell lengths 5.3741, 5.3741, 3.6568 Å; angles 90.00, 90.00, 90.00 degrees
Closest atoms and distances in Å follow each position.
Sites, in units of the cell vectors:
Ge 0.0000 0.0000 0.0000  8 Cl 3.25
S 0.5000 0.5000 0.0000  2 F 1.83
Cl 0.0000 0.5000 0.5000  2 F 2.69
Cl 0.5000 0.0000 0.5000  2 F 2.69
F 0.5000 0.5000 0.5000  2 S 1.83



*2*
Here is an optimized crystal structure of GeSCl2F from the Alexandria database. Energies are from PBE.

Magnetization ... 1.790 μB/cell
D(E_F) ... 3.4 states/eV/f.u.

Cell lengths 4.7581, 4.7581, 4.9563 Å; angles 90.00, 90.00, 90.00 degrees
Closest atoms and distances in Å follow each position.
Sites, in units of the cell vectors:
Ge 0.0000 0.0000 0.0000  4 Cl 2.38, 2 S 2.48
S 0.0000 0.0000 0.5000  2 Ge 2.48
Cl 0.0000 0.5000 0.0000  2 Ge 2.38
Cl 0.5000 0.0000 0.0000  2 Ge 2.38
F 0.5000 0.5000 0.5000  4 S 3.36, 8 Cl 3.44



Which structure is most stable? *2*, by 0.174 eV/atom over the runner-up.